Entry 1:
Here is a relaxed Nb2Mo2Se7 crystal from the Alexandria database. Energies are from GGA-PBE.

Geometry as CIF:
```
data_Nb2Mo2Se7
_chemical_formula_sum 'Nb2 Mo2 Se7'
_cell_length_a 6.545
_cell_length_b 6.814
_cell_length_c 6.814
_cell_angle_alpha 111.67
_cell_angle_beta 89.28
_cell_angle_gamma 89.28
_symmetry_space_group_name_H-M 'P 1'
_symmetry_Int_Tables_number 1
loop_
_symmetry_equiv_pos_as_xyz
'x,y,z'
loop_
_atom_site_label
_atom_site_type_symbol
_atom_site_fract_x
_atom_site_fract_y
_atom_site_fract_z
Mo1 Mo 0.165 0.718 0.718
Se1 Se 0.782 0.617 0.617
Mo2 Mo 0.835 0.282 0.282
Se2 Se 0.218 0.383 0.383
Nb1 Nb 0.500 0.637 0.363
Se3 Se 0.702 0.024 0.416
Nb2 Nb 0.500 0.363 0.637
Se4 Se 0.298 0.584 0.976
Se5 Se 0.298 0.976 0.584
Se6 Se 0.000 0.000 0.000
Se7 Se 0.702 0.416 0.024
```

Computed properties:
Uncorrected formation energy in meV per atom: -323
Space-group type: C2/m (12)

Entry 2:
Here is a relaxed MnGa2Fe3 crystal from the Alexandria database. Energies are from GGA-PBE.

Geometry as CIF:
```
data_MnGa2Fe3
_chemical_formula_sum 'Mn4 Ga8 Fe12'
_cell_length_a 8.175
_cell_length_b 8.201
_cell_length_c 6.598
_cell_angle_alpha 71.78
_cell_angle_beta 51.72
_cell_angle_gamma 60.11
_symmetry_space_group_name_H-M 'P 1'
_symmetry_Int_Tables_number 1
loop_
_symmetry_equiv_pos_as_xyz
'x,y,z'
loop_
_atom_site_label
_atom_site_type_symbol
_atom_site_fract_x
_atom_site_fract_y
_atom_site_fract_z
Ga1 Ga 0.373 0.501 0.247
Fe1 Fe 0.955 0.665 0.433
Fe2 Fe 0.296 0.837 0.077
Ga2 Ga 0.875 0.994 0.249
Mn1 Mn 0.799 0.332 0.074
Fe3 Fe 0.052 0.335 0.567
Fe4 Fe 0.452 0.172 0.428
Fe5 Fe 0.698 0.165 0.933
Fe6 Fe 0.699 0.672 0.928
Ga3 Ga 0.122 0.499 0.753
Ga4 Ga 0.119 0.006 0.751
Fe7 Fe 0.210 0.163 0.923
Ga5 Ga 0.628 0.001 0.747
Fe8 Fe 0.795 0.835 0.067
Mn2 Mn 0.205 0.668 0.926
Fe9 Fe 0.051 0.828 0.572
Ga6 Ga 0.631 0.494 0.749
Fe10 Fe 0.454 0.663 0.423
Ga7 Ga 0.875 0.506 0.251
Mn3 Mn 0.951 0.168 0.426
Fe11 Fe 0.540 0.337 0.577
Mn4 Mn 0.545 0.832 0.574
Ga8 Ga 0.377 0.999 0.253
Fe12 Fe 0.298 0.328 0.072
```

Computed properties:
Energy relative to the elements in eV per atom: -0.0772
Space-group type: C2/c (15)

Entry 3:
Here is a relaxed ZrP2CO crystal from the Alexandria database. Energies are from GGA-PBE.

Geometry as CIF:
```
data_ZrP2CO
_chemical_formula_sum 'Zr1 P2 C1 O1'
_cell_length_a 3.779
_cell_length_b 3.779
_cell_length_c 4.416
_cell_angle_alpha 90.00
_cell_angle_beta 90.00
_cell_angle_gamma 90.00
_symmetry_space_group_name_H-M 'P 1'
_symmetry_Int_Tables_number 1
loop_
_symmetry_equiv_pos_as_xyz
'x,y,z'
loop_
_atom_site_label
_atom_site_type_symbol
_atom_site_fract_x
_atom_site_fract_y
_atom_site_fract_z
O1 O 0.000 0.000 0.500
Zr1 Zr 0.500 0.500 0.500
P1 P 0.000 0.500 0.000
P2 P 0.500 0.000 0.000
C1 C 0.000 0.000 0.000
```

Computed properties:
Energy relative to the lowest polymorph listed for this composition in eV/atom: 0.000
Uncorrected formation energy in meV per atom: 251
Space-group type: P4/mmm (123)

Entry 4:
Here is a relaxed Fe2CuRu crystal from the Alexandria database. Energies are from GGA-PBE.

Geometry as CIF:
```
data_Fe2CuRu
_chemical_formula_sum 'Fe2 Cu1 Ru1'
_cell_length_a 8.643
_cell_length_b 8.643
_cell_length_c 8.643
_cell_angle_alpha 17.30
_cell_angle_beta 17.30
_cell_angle_gamma 17.30
_symmetry_space_group_name_H-M 'P 1'
_symmetry_Int_Tables_number 1
loop_
_symmetry_equiv_pos_as_xyz
'x,y,z'
loop_
_atom_site_label
_atom_site_type_symbol
_atom_site_fract_x
_atom_site_fract_y
_atom_site_fract_z
Ru1 Ru 0.250 0.250 0.250
Fe1 Fe 0.001 0.001 0.001
Fe2 Fe 0.499 0.499 0.499
Cu1 Cu 0.750 0.750 0.750
```

Computed properties:
Energy relative to the lowest polymorph listed for this composition in eV/atom: 0.024
Energy relative to the elements in eV per atom: 0.1878
Space-group type: R-3m (166)